DFT (PBE+U) results for an optimized crystal structure of PrMgCr2O6.

E_tot in eV/atom: -7.4157
Symmetry: No. 31

Cell: 5.284 5.420 7.724 Å, 90.00 90.00 90.00°
Last column: magnetic moment on the atom in μB.
Sites, in units of the cell vectors:
O: 0.218 0.971 0.806  -0.11
O: 0.815 0.556 0.693  -0.07
O: 0.872 0.273 0.000  -0.03
O: 0.218 0.971 0.194  -0.11
O: 0.718 0.029 0.306  -0.11
O: 0.718 0.029 0.694  -0.11
O: 0.083 0.194 0.500  -0.01
O: 0.583 0.806 0.000  -0.01
O: 0.315 0.444 0.807  -0.07
O: 0.815 0.556 0.307  -0.07
O: 0.372 0.727 0.500  -0.03
O: 0.315 0.444 0.193  -0.07
Pr: 0.507 0.300 0.500  0.00
Pr: 0.007 0.700 0.000  0.00
Mg: 0.480 0.197 0.000  0.00
Mg: 0.980 0.803 0.500  0.00
Cr: 0.995 0.243 0.749  2.65
Cr: 0.995 0.243 0.251  2.65
Cr: 0.495 0.757 0.751  2.65
Cr: 0.495 0.757 0.249  2.65